[1]
A relaxed LiNdCoSn crystal, computed with PBE.

Results
Density of states at the Fermi level = 0.869 states/eV per atom
DFT formation energy = -128 kJ/mol of formula units
VASP energy = -4.779 eV per atom
Symmetry = No. 216

a = 4.7378 Å, b = 4.7378 Å, c = 4.7378 Å
α = 60.00°, β = 60.00°, γ = 60.00°
Last column: magnetic moment on the atom in μB.
Atoms (fractional coordinates):
Li: 0.5000 0.5000 0.5000  -0.01
Nd: 0.7500 0.7500 0.7500  0.00
Co: 0.0000 0.0000 0.0000  0.91
Sn: 0.2500 0.2500 0.2500  0.04

=====

[2]
A relaxed TmPu2Fe9 crystal, computed with PBE.

Results
Density of states at the Fermi level = 2.042 states/eV per atom
DFT formation energy = 84 kJ/mol of formula units
VASP energy = -9.036 eV per atom
Symmetry = No. 166

a = 4.9357 Å, b = 4.9357 Å, c = 8.7475 Å
α = 73.61°, β = 73.61°, γ = 60.00°
Last column: magnetic moment on the atom in μB.
Atoms (fractional coordinates):
Fe: 0.3338 0.3338 0.9986  2.34
Fe: 0.9202 0.4189 0.2420  1.86
Fe: 0.5811 0.0798 0.7580  1.86
Fe: 0.6662 0.6662 0.0014  2.34
Fe: 0.4189 0.4189 0.2420  1.86
Fe: 0.5811 0.5811 0.7580  1.86
Fe: 0.5000 0.5000 0.5000  -1.34
Fe: 0.4189 0.9202 0.2420  1.86
Fe: 0.0798 0.5811 0.7580  1.86
Pu: 0.1469 0.1469 0.5593  4.55
Pu: 0.8531 0.8531 0.4407  4.55
Tm: 0.0000 0.0000 0.0000  -0.31

=====

[3]
A relaxed Tm4Co2Ge crystal, computed with PBE.

Results
Density of states at the Fermi level = 0.766 states/eV per atom
DFT formation energy = -125 kJ/mol of formula units
VASP energy = -5.430 eV per atom
Symmetry = No. 141

a = 7.5173 Å, b = 7.5172 Å, c = 7.5195 Å
α = 108.84°, β = 108.84°, γ = 110.74°
Atoms (fractional coordinates):
Tm: 0.8560 0.6702 0.1850
Tm: 0.4851 0.6710 0.8150
Tm: 0.7644 0.0790 0.6854
Tm: 0.3297 0.5149 0.1857
Tm: 0.3292 0.1440 0.8143
Tm: 0.9207 0.6064 0.6852
Tm: 0.3936 0.0790 0.3145
Tm: 0.9213 0.2355 0.3148
Co: 0.6249 0.3745 0.2498
Co: 0.6250 0.3751 0.7497
Co: 0.1246 0.3751 0.7502
Co: 0.6254 0.8754 0.2503
Ge: 0.0002 0.0002 0.0000
Ge: 0.2499 0.7498 0.5000

=====

[4]
A relaxed TbGdAlPd crystal, computed with PBE.

Results
Density of states at the Fermi level = 0.751 states/eV per atom
DFT formation energy = -214 kJ/mol of formula units
VASP energy = -7.467 eV per atom
Symmetry = No. 216

a = 5.0937 Å, b = 5.0937 Å, c = 5.0937 Å
α = 60.00°, β = 60.00°, γ = 60.00°
Last column: magnetic moment on the atom in μB.
Atoms (fractional coordinates):
Pd: 0.5000 0.5000 0.5000  0.01
Al: 0.0000 0.0000 0.0000  0.00
Gd: 0.7500 0.7500 0.7500  7.01
Tb: 0.2500 0.2500 0.2500  -0.01

=====

[5]
A relaxed BaHgSe crystal, computed with PBE.

Results
Formation energy without anion corrections = -3.4 eV per formula unit
Density of states at the Fermi level = 0.000 states/eV per atom
VASP energy = -3.027 eV per atom
Symmetry = No. 156

a = 4.8548 Å, b = 4.8548 Å, c = 5.3660 Å
α = 90.00°, β = 90.00°, γ = 120.00°
Atoms (fractional coordinates):
Ba: 0.0000 0.0000 0.9617
Se: 0.3333 0.6667 0.6700
Hg: 0.6667 0.3333 0.3683

=====

[6]
A relaxed Mg2MnTc crystal, computed with PBE.

Results
Density of states at the Fermi level = 0.632 states/eV per atom
DFT formation energy = 109 kJ/mol of formula units
VASP energy = -5.398 eV per atom
Symmetry = No. 139

a = 5.0296 Å, b = 5.0296 Å, c = 5.0296 Å
α = 133.85°, β = 133.85°, γ = 67.32°
Last column: magnetic moment on the atom in μB.
Atoms (fractional coordinates):
Mg: 0.5000 0.5000 0.0000  -0.02
Mg: 0.0000 0.0000 0.0000  -0.02
Mn: 0.2500 0.7500 0.5000  3.50
Tc: 0.7500 0.2500 0.5000  0.16

=====

[7]
A relaxed Na2YInTe4 crystal, computed with PBE.

Results
Formation energy without anion corrections = -7.3 eV per formula unit
Density of states at the Fermi level = 0.178 states/eV per atom
VASP energy = -3.962 eV per atom
Symmetry = No. 10

a = 4.3573 Å, b = 7.6734 Å, c = 8.0214 Å
α = 108.57°, β = 90.00°, γ = 90.00°
Atoms (fractional coordinates):
Na: 0.5000 0.0000 0.5000
Na: 0.0000 0.5000 0.5000
Te: 0.0000 0.7424 0.2344
Te: 0.5000 0.7680 0.7776
Te: 0.5000 0.2320 0.2224
Te: 0.0000 0.2576 0.7656
In: 0.0000 0.0000 0.0000
Y: 0.5000 0.5000 0.0000

=====

[8]
A relaxed U2WC crystal, computed with PBE.

Results
Density of states at the Fermi level = 1.454 states/eV per atom
DFT formation energy = 182 kJ/mol of formula units
VASP energy = -10.717 eV per atom
Symmetry = No. 123

a = 3.3047 Å, b = 3.3047 Å, c = 6.1505 Å
α = 90.00°, β = 90.00°, γ = 90.00°
Last column: magnetic moment on the atom in μB.
Atoms (fractional coordinates):
U: 0.0000 0.0000 0.2047  0.91
U: 0.0000 0.0000 0.7953  0.91
C: 0.5000 0.5000 0.0000  -0.04
W: 0.5000 0.5000 0.5000  -0.13

=====

[9]
A relaxed SmPaCu2 crystal, computed with PBE.

Results
Density of states at the Fermi level = 1.076 states/eV per atom
DFT formation energy = 14 kJ/mol of formula units
VASP energy = -5.565 eV per atom
Symmetry = No. 123

a = 3.2315 Å, b = 3.2315 Å, c = 7.9038 Å
α = 90.00°, β = 90.00°, γ = 90.00°
Atoms (fractional coordinates):
Sm: 0.5000 0.5000 0.5000
Pa: 0.5000 0.5000 0.0000
Cu: 0.0000 0.0000 0.2418
Cu: 0.0000 0.0000 0.7582

=====

[10]
A relaxed CrSb2MoPb crystal, computed with PBE.

Results
Formation energy without anion corrections = 8.8 eV per formula unit
Density of states at the Fermi level = 0.572 states/eV per atom
VASP energy = -4.727 eV per atom
Symmetry = No. 123

a = 5.7750 Å, b = 5.0837 Å, c = 5.7750 Å
α = 90.00°, β = 90.00°, γ = 90.00°
Last column: magnetic moment on the atom in μB.
Atoms (fractional coordinates):
Sb: 0.5000 0.0000 0.0000  -0.23
Sb: 0.0000 0.0000 0.5000  -0.18
Pb: 0.0000 0.0000 0.0000  -0.04
Mo: 0.5000 0.5000 0.5000  3.68
Cr: 0.0000 0.5000 0.0000  3.84

=====

[11]
A relaxed NdErZn2 crystal, computed with PBE.

Results
Density of states at the Fermi level = 1.167 states/eV per atom
DFT formation energy = -123 kJ/mol of formula units
VASP energy = -3.288 eV per atom
Symmetry = No. 225

a = 5.1119 Å, b = 5.1119 Å, c = 5.1119 Å
α = 60.00°, β = 60.00°, γ = 60.00°
Atoms (fractional coordinates):
Zn: 0.7500 0.7500 0.7500
Zn: 0.2500 0.2500 0.2500
Nd: 0.0000 0.0000 0.0000
Er: 0.5000 0.5000 0.5000

=====

Q: Which value of VASP energy does entry 1 give?
A: -4.779 eV per atom

=====

Q: Which value of VASP energy does entry 7 give?
A: -3.962 eV per atom

=====

Q: What is the VASP energy in the ninth record?
A: -5.565 eV per atom